(1)
CdRe2Cl | PBE | relaxed

Cell and atoms, written as CIF:
```
data_CdRe2Cl
_cell_length_a 7.1278
_cell_length_b 7.1278
_cell_length_c 5.4148
_cell_angle_alpha 90.00
_cell_angle_beta 90.00
_cell_angle_gamma 90.00
_space_group_name_H-M_alt 'I -4 2 d'
_space_group_IT_number 122
_space_group_name_Hall 'I -4 2bw'
loop_
_atom_site_label
_atom_site_type_symbol
_atom_site_fract_x
_atom_site_fract_y
_atom_site_fract_z
_atom_site_occupancy
Cd1 Cd 0.0000 0.0000 0.0000 1
Re1 Re 0.1756 0.2500 0.6250 1
Cl1 Cl 0.0000 0.0000 0.5000 1
```

Properties
**Total energy**: -87.3 eV per cell
**DOS at the Fermi energy**: 28.27 states/eV per cell
**Volume**: 275.10 Å³/cell
**E_form (uncorrected)**: 1458 meV/atom
**Mass density**: 12.56 g/cm3
**Energy above the lowest structure with this stoichiometry**: 5.41 eV/f.u.



(2)
CdRe2Cl | PBE | relaxed

Cell and atoms, written as CIF:
```
data_CdRe2Cl
_cell_length_a 2.9921
_cell_length_b 2.9921
_cell_length_c 8.2219
_cell_angle_alpha 90.00
_cell_angle_beta 90.00
_cell_angle_gamma 90.00
_space_group_name_H-M_alt 'P 4 m m'
_space_group_IT_number 99
_space_group_name_Hall 'P 4 -2'
loop_
_atom_site_label
_atom_site_type_symbol
_atom_site_fract_x
_atom_site_fract_y
_atom_site_fract_z
_atom_site_occupancy
Cd1 Cd 0.0000 0.0000 0.0000 1
Re1 Re 0.0000 0.0000 0.5668 1
Re2 Re 0.5000 0.5000 0.7479 1
Cl1 Cl 0.5000 0.5000 0.3361 1
```

Properties
**Total energy**: -26.7 eV per cell
**DOS at the Fermi energy**: 3.37 states/eV per cell
**Volume**: 73.61 Å³/cell
**E_form (uncorrected)**: 243 meV/atom
**Mass density**: 11.74 g/cm3
**Energy above the lowest structure with this stoichiometry**: 0.55 eV/f.u.



(3)
CdRe2Cl | PBE | relaxed

Cell and atoms, written as CIF:
```
data_CdRe2Cl
_cell_length_a 3.3387
_cell_length_b 4.9004
_cell_length_c 10.9659
_cell_angle_alpha 90.00
_cell_angle_beta 90.00
_cell_angle_gamma 90.00
_space_group_name_H-M_alt 'I m m 2'
_space_group_IT_number 44
_space_group_name_Hall 'I 2 -2'
loop_
_atom_site_label
_atom_site_type_symbol
_atom_site_fract_x
_atom_site_fract_y
_atom_site_fract_z
_atom_site_occupancy
Cd1 Cd 0.0000 0.0000 0.0000 1
Re1 Re 0.0000 0.0000 0.5125 1
Re2 Re 0.0000 0.5000 0.8657 1
Cl1 Cl 0.0000 0.5000 0.2165 1
```

Properties
**Total energy**: -48.4 eV per cell
**DOS at the Fermi energy**: 6.92 states/eV per cell
**Volume**: 179.41 Å³/cell
**E_form (uncorrected)**: 859 meV/atom
**Mass density**: 9.63 g/cm3
**Energy above the lowest structure with this stoichiometry**: 3.02 eV/f.u.